1.
# PBE ZnHg4Pb2, optimized geometry
# M_tot   0.0 μB/cell
# DOS at the Fermi energy   3.2 states/eV/f.u.
# Calculated formation energy   0.1609 eV per atom
data_ZnHg4Pb2
_cell_length_a 5.259
_cell_length_b 5.259
_cell_length_c 15.531
_cell_angle_alpha 90.00
_cell_angle_beta 90.00
_cell_angle_gamma 90.00
_space_group_name_H-M_alt 'I 4/m m m'
_space_group_IT_number 139
_space_group_name_Hall '-I 4 2'
loop_
_atom_site_label
_atom_site_type_symbol
_atom_site_fract_x
_atom_site_fract_y
_atom_site_fract_z
Zn1 Zn 0.000 0.000 0.000
Hg1 Hg 0.000 0.000 0.182
Hg2 Hg 0.000 0.500 0.000
Pb1 Pb 0.000 0.000 0.380

2.
# PBE Li2Mg, optimized geometry
# M_tot   0.0 μB/cell
# DOS at the Fermi energy   1.4 states/eV/f.u.
# Calculated formation energy   0.0228 eV per atom
data_Li2Mg
_cell_length_a 3.031
_cell_length_b 3.031
_cell_length_c 28.190
_cell_angle_alpha 90.00
_cell_angle_beta 90.00
_cell_angle_gamma 90.00
_space_group_name_H-M_alt 'I 41/a m d'
_space_group_IT_number 141
loop_
_space_group_symop_operation_xyz
'x,y,z'
'-x,-y,-z'
'-y+1/4,x+3/4,z+1/4'
'y+1/4,-x+3/4,-z+1/4'
'-x+1/2,-y,z+1/2'
'x+1/2,y,-z+1/2'
'y+1/4,-x+1/4,z+3/4'
'-y+1/4,x+1/4,-z+3/4'
'x,-y,-z'
'-x,y,z'
'-y+1/4,-x+1/4,-z+3/4'
'y+1/4,x+1/4,z+3/4'
'-x+1/2,y,-z+1/2'
'x+1/2,-y,z+1/2'
'y+1/4,x+3/4,-z+1/4'
'-y+1/4,-x+3/4,z+1/4'
'x+1/2,y+1/2,z+1/2'
'-x+1/2,-y+1/2,-z+1/2'
'-y+3/4,x+1/4,z+3/4'
'y+3/4,-x+1/4,-z+3/4'
'-x,-y+1/2,z'
'x,y+1/2,-z'
'y+3/4,-x+3/4,z+1/4'
'-y+3/4,x+3/4,-z+1/4'
'x+1/2,-y+1/2,-z+1/2'
'-x+1/2,y+1/2,z+1/2'
'-y+3/4,-x+3/4,-z+1/4'
'y+3/4,x+3/4,z+1/4'
'-x,y+1/2,-z'
'x,-y+1/2,z'
'y+3/4,x+1/4,-z+3/4'
'-y+3/4,-x+1/4,z+3/4'
loop_
_atom_site_label
_atom_site_type_symbol
_atom_site_fract_x
_atom_site_fract_y
_atom_site_fract_z
Li1 Li 0.000 0.250 0.295
Mg1 Mg 0.000 0.250 0.875

3.
# PBE Pm2Y2I7, optimized geometry
# M_tot   2.0 μB/cell
# DOS at the Fermi energy   6.5 states/eV/f.u.
# Calculated total energy   -4.008 eV/atom
data_Pm2Y2I7
_cell_length_a 9.189
_cell_length_b 13.424
_cell_length_c 8.199
_cell_angle_alpha 90.00
_cell_angle_beta 92.26
_cell_angle_gamma 90.00
_space_group_name_H-M_alt 'C 1 2/m 1'
_space_group_IT_number 12
_space_group_name_Hall '-C 2y'
loop_
_atom_site_label
_atom_site_type_symbol
_atom_site_fract_x
_atom_site_fract_y
_atom_site_fract_z
Pm1 Pm 0.000 0.135 0.000
Y1 Y 0.201 0.000 0.336
I1 I 0.000 0.500 0.500
I2 I 0.131 0.000 0.717
I3 I 0.217 0.297 0.781